# Na4NiSn2Ir

Crystalline Na4NiSn2Ir at its relaxed geometry (PBE, the Open Quantum Materials Database).

a = 4.7784 Å, b = 4.7784 Å, c = 6.7140 Å
α = 90.00°, β = 90.00°, γ = 90.00°
Fractional coordinates of all 8 atoms:
Na (0.0000, 0.0000, 0.0000)
Na (0.0000, 0.5000, 0.2434)
Na (0.5000, 0.0000, 0.7566)
Na (0.5000, 0.5000, 0.5000)
Ni (0.5000, 0.5000, 0.0000)
Sn (0.0000, 0.5000, 0.7438)
Sn (0.5000, 0.0000, 0.2562)
Ir (0.0000, 0.0000, 0.5000)

Output
As for the spin magnetization: 0.0 μB per formula unit. The space-group type is P-4m2 (115). As for the total DFT energy (no corrections): -3.397 eV per atom.